BaYBe4: relaxed, PBE.

Values from the calculation:
V: 426 Å³ per cell
total energy: -3.4278 eV per atom
density: 4.09 g/cm³
calculated formation energy: 0.45 eV per atom

Cell lengths 7.5216, 7.5216, 7.5216 Å; angles 90.00, 90.00, 90.00 degrees
Space group F-43m (No. 216)
One atom of each set of equivalent atoms:
Ba 0.0000 0.0000 0.0000
Y 0.2500 0.2500 0.2500
Be 0.1087 0.1087 0.6087